Record 1
Sr2In2Au15: relaxed, GGA-PBE.

Calculated values
formation enthalpy at 0 K	-5.83	eV per formula unit
raw total energy	-0.12345	hartree per atom
Fermi-level density of states	8.22	states/eV/cell

Structure (extended XYZ):
```
19
Lattice="4.905 2.832 4.805 -4.905 2.832 4.805 0.000 -5.664 4.805" Properties=species:S:1:pos:R:3 pbc="T T T"
Sr 0.000 0.000 2.172
Sr 0.000 0.000 12.242
In 0.000 0.000 5.737
In 0.000 0.000 8.677
Au -2.453 -1.416 4.805
Au 0.000 -2.895 4.625
Au -2.507 1.448 4.625
Au -1.536 -2.661 7.207
Au -3.072 0.000 7.207
Au -2.507 -1.448 9.789
Au -2.453 1.416 9.609
Au 1.536 -2.661 7.207
Au 0.000 2.832 4.805
Au -1.536 2.661 7.207
Au 2.507 1.448 4.625
Au 3.072 0.000 7.207
Au 1.536 2.661 7.207
Au 2.507 -1.448 9.789
Au 0.000 2.895 9.789
```

***

Record 2
Sr2InAu6: relaxed, GGA-PBE.

Calculated values
formation enthalpy at 0 K	-4.97	eV per formula unit
raw total energy	-0.12552	hartree per atom
Fermi-level density of states	1.73	states/eV/cell

Structure (extended XYZ):
```
9
Lattice="6.419 0.000 0.000 -3.209 5.559 0.000 0.000 0.000 5.915" Properties=species:S:1:pos:R:3 pbc="T T T"
Sr 0.000 3.706 0.981
Sr 3.209 1.853 4.934
In 0.000 0.000 0.000
Au 0.000 2.043 3.989
Au -1.440 4.537 3.989
Au 1.769 1.022 1.926
Au 1.440 4.537 3.989
Au 4.649 1.022 1.926
Au 3.209 3.516 1.926
```

***

Record 3
SrIn2Au2: relaxed, GGA-PBE.

Calculated values
formation enthalpy at 0 K	-2.73	eV per formula unit
raw total energy	-0.12083	hartree per atom
Fermi-level density of states	9.73	states/eV/cell

Structure (extended XYZ):
```
20
Lattice="8.737 0.000 0.000 0.000 4.716 0.000 0.000 0.000 12.363" Properties=species:S:1:pos:R:3 pbc="T T T"
Sr 1.848 1.179 2.049
Sr 2.521 3.537 8.230
Sr 6.216 1.179 4.133
Sr 6.889 3.537 10.314
In 0.839 1.179 5.522
In 1.350 1.179 10.652
In 3.019 3.537 4.470
In 3.530 3.537 11.703
In 5.207 1.179 0.660
In 5.718 1.179 7.893
In 7.387 3.537 1.711
In 7.898 3.537 6.842
Au 0.080 3.537 4.089
Au 0.833 3.537 12.188
Au 3.535 1.179 6.006
Au 4.289 1.179 10.270
Au 4.448 3.537 2.093
Au 5.201 3.537 6.357
Au 7.904 1.179 0.176
Au 8.657 1.179 8.274
```

***

Record 4
Sr4InAu3: relaxed, GGA-PBE.

Calculated values
formation enthalpy at 0 K	-5.34	eV per formula unit
raw total energy	-0.11316	hartree per atom
Fermi-level density of states	4.17	states/eV/cell

Structure (extended XYZ):
```
8
Lattice="4.331 0.000 0.000 0.000 4.847 0.000 0.000 0.000 11.990" Properties=species:S:1:pos:R:3 pbc="T T T"
Sr 0.000 0.000 0.000
Sr 0.000 2.424 3.223
Sr 2.165 0.000 5.768
Sr 2.165 2.424 9.316
In 0.000 0.000 8.410
Au 0.000 2.424 6.663
Au 2.165 0.000 2.504
Au 2.165 2.424 0.672
```

***

Record 5
SrInAu10: relaxed, GGA-PBE.

Calculated values
formation enthalpy at 0 K	-2.80	eV per formula unit
raw total energy	-0.12248	hartree per atom
Fermi-level density of states	3.76	states/eV/cell

Structure (extended XYZ):
```
12
Lattice="4.666 0.000 0.000 0.000 5.721 0.000 0.000 0.000 9.747" Properties=species:S:1:pos:R:3 pbc="T T T"
Sr 0.000 0.000 0.000
In 0.000 2.860 4.874
Au 0.000 0.000 3.323
Au 0.000 0.000 6.424
Au 0.000 2.860 1.838
Au 0.000 2.860 7.909
Au 2.333 0.000 4.874
Au 2.333 1.389 2.364
Au 2.333 1.389 7.383
Au 2.333 2.860 0.000
Au 2.333 4.331 2.364
Au 2.333 4.331 7.383
```

***

Record 6
SrIn9Au2: relaxed, GGA-PBE.

Calculated values
formation enthalpy at 0 K	-1.79	eV per formula unit
raw total energy	-0.10618	hartree per atom
Fermi-level density of states	9.07	states/eV/cell

Structure (extended XYZ):
```
24
Lattice="-6.549 6.549 3.714 6.549 -6.549 3.714 6.549 6.549 -3.714" Properties=species:S:1:pos:R:3 pbc="T T T"
Sr 6.549 3.275 0.929
Sr 0.000 3.275 2.786
In 4.950 -0.871 1.254
In 8.149 -0.871 1.254
In 6.549 -3.275 2.786
In 2.404 1.675 0.603
In 10.694 1.675 0.603
In 4.950 5.679 -1.254
In 1.599 -0.871 2.460
In 2.404 4.874 0.603
In 4.145 -1.675 4.317
In 2.404 8.225 -0.603
In 4.145 1.675 3.111
In 4.950 7.420 1.254
In 1.599 0.871 4.968
In -4.145 4.874 3.111
In 4.145 4.874 3.111
In 0.000 9.824 0.929
In -1.599 7.420 2.460
In 1.599 7.420 2.460
Au 0.000 0.000 0.000
Au 3.275 3.275 -1.857
Au 3.275 -3.275 1.857
Au 0.000 6.549 0.000
```

***

Record 7
Sr3In3Au2: relaxed, GGA-PBE.

Calculated values
formation enthalpy at 0 K	-4.57	eV per formula unit
raw total energy	-0.11202	hartree per atom
Fermi-level density of states	9.94	states/eV/cell

Structure (extended XYZ):
```
16
Lattice="2.454 -5.696 0.000 2.454 5.696 0.000 0.000 0.000 16.825" Properties=species:S:1:pos:R:3 pbc="T T T"
Sr 2.454 4.821 10.250
Sr 2.454 4.821 14.987
Sr 2.454 1.593 12.619
Sr 2.454 -1.593 4.206
Sr 2.454 -4.821 1.838
Sr 2.454 -4.821 6.574
In 2.454 1.770 4.206
In 2.454 1.515 9.033
In 2.454 1.515 16.204
In 2.454 -1.515 0.621
In 2.454 -1.515 7.792
In 2.454 -1.770 12.619
Au 2.454 3.279 1.802
Au 2.454 3.279 6.611
Au 2.454 -3.279 10.214
Au 2.454 -3.279 15.023
```

***

Record 8
Sr2In5Au3: relaxed, GGA-PBE.

Calculated values
formation enthalpy at 0 K	-4.97	eV per formula unit
raw total energy	-0.11707	hartree per atom
Fermi-level density of states	9.59	states/eV/cell
relative energy among the computed polymorphs	0.0	meV per atom

Structure (extended XYZ):
```
20
Lattice="2.375 -13.872 0.000 2.375 13.872 0.000 0.000 0.000 7.680" Properties=species:S:1:pos:R:3 pbc="T T T"
Sr 2.375 13.333 3.840
Sr 2.375 4.885 3.420
Sr 2.375 -4.885 7.260
Sr 2.375 -13.333 0.000
In 2.375 11.079 1.133
In 2.375 8.116 1.841
In 2.375 8.140 4.932
In 2.375 3.430 7.534
In 2.375 1.501 2.488
In 2.375 -1.501 6.328
In 2.375 -3.430 3.695
In 2.375 -8.140 1.092
In 2.375 -8.116 5.681
In 2.375 -11.079 4.973
Au 2.375 10.834 5.811
Au 2.375 6.304 7.208
Au 2.375 1.287 5.440
Au 2.375 -1.287 1.600
Au 2.375 -6.304 3.368
Au 2.375 -10.834 1.971
```

***

Record 9
Sr3In6Au5: relaxed, GGA-PBE.

Calculated values
formation enthalpy at 0 K	-7.32	eV per formula unit
raw total energy	-0.11860	hartree per atom
Fermi-level density of states	11.16	states/eV/cell

Structure (extended XYZ):
```
28
Lattice="4.663 0.000 0.000 0.000 14.100 0.000 0.000 0.000 10.629" Properties=species:S:1:pos:R:3 pbc="T T T"
Sr 1.166 0.734 2.607
Sr 1.166 6.316 2.607
Sr 1.166 10.575 2.791
Sr 3.497 3.525 7.838
Sr 3.497 7.784 8.022
Sr 3.497 13.366 8.022
In 1.166 1.023 6.276
In 1.166 3.525 0.372
In 1.166 3.525 4.375
In 1.166 6.027 6.276
In 1.166 8.413 10.462
In 1.166 12.737 10.462
In 3.497 1.363 0.167
In 3.497 5.687 0.167
In 3.497 8.073 4.353
In 3.497 10.575 6.254
In 3.497 10.575 10.256
In 3.497 13.077 4.353
Au 1.166 1.335 9.100
Au 1.166 5.715 9.100
Au 1.166 8.916 5.773
Au 1.166 10.575 8.399
Au 1.166 12.234 5.773
Au 3.497 1.866 4.856
Au 3.497 3.525 2.230
Au 3.497 5.184 4.856
Au 3.497 8.385 1.528
Au 3.497 12.765 1.528
```

***

Record 10
Sr8In2Au: relaxed, GGA-PBE.

Calculated values
formation enthalpy at 0 K	-3.49	eV per formula unit
raw total energy	-0.08584	hartree per atom
Fermi-level density of states	9.24	states/eV/cell

Structure (extended XYZ):
```
11
Lattice="10.214 -2.886 0.000 10.214 2.886 0.000 -2.388 0.000 7.464" Properties=species:S:1:pos:R:3 pbc="T T T"
Sr -0.141 0.000 2.184
Sr 2.351 0.000 6.000
Sr 5.706 0.000 4.045
Sr 8.108 0.000 0.515
Sr 9.933 0.000 6.950
Sr 12.334 0.000 3.420
Sr 15.690 0.000 1.464
Sr 18.182 0.000 5.280
In 3.222 0.000 1.574
In 14.819 0.000 5.891
Au 9.020 0.000 3.732
```

***

Record 11
Sr2In3Au: relaxed, GGA-PBE.

Calculated values
formation enthalpy at 0 K	-3.26	eV per formula unit
raw total energy	-0.11097	hartree per atom
Fermi-level density of states	2.87	states/eV/cell
relative energy among the computed polymorphs	0.0	meV per atom

Structure (extended XYZ):
```
6
Lattice="5.831 -2.481 0.000 5.831 2.481 0.000 -5.286 0.000 5.960" Properties=species:S:1:pos:R:3 pbc="T T T"
Sr 0.000 0.000 0.000
Sr -2.074 0.000 3.565
In 3.411 0.000 1.213
In 2.863 0.000 5.956
In 6.225 0.000 2.457
Au 1.317 0.000 3.514
```

***

Record 12
SrIn6Au4: relaxed, GGA-PBE.

Calculated values
formation enthalpy at 0 K	-3.08	eV per formula unit
raw total energy	-0.11461	hartree per atom
Fermi-level density of states	4.71	states/eV/cell

Structure (extended XYZ):
```
11
Lattice="-3.736 3.736 5.183 3.736 -3.736 5.183 3.736 3.736 -5.183" Properties=species:S:1:pos:R:3 pbc="T T T"
Sr 0.000 0.000 0.000
In 3.736 0.000 0.000
In 2.542 2.542 -1.853
In 1.194 1.194 3.330
In 0.000 3.736 0.000
In 1.194 -1.194 7.036
In -1.194 1.194 7.036
Au 1.574 -1.574 4.198
Au 2.162 2.162 0.985
Au -1.574 1.574 4.198
Au 1.574 1.574 6.168
```

***

raw total energy of number 8 (Sr2In5Au3)?
-0.11707 hartree per atom

***

Which of these has the highest formation enthalpy at 0 K?
SrIn9Au2

***

Which value of formation enthalpy at 0 K does entry 12 give?
-3.08 eV per formula unit

***

Which of these has the highest Fermi-level density of states?
Sr3In6Au5